## MnSiH12O6F6 (PBE with a Hubbard U)

Data for a relaxed structure of MnSiH12O6F6.

a b c (Å): 9.7734 9.7734 9.8581
angles (deg): 90.00 90.00 120.00
With the nearest neighbours (Å) after each atom.
Space group P-3 (No. 147)
One atom of each set of equivalent atoms:
Mn  0.0000  0.0000  0.0000 (multiplicity 1)  6 O 2.20
Mn  0.3333  0.6667  0.6761 (multiplicity 2)  6 O 2.18-2.20
Si  0.0000  0.0000  0.5000 (multiplicity 1)  6 F 1.72
Si  0.3333  0.6667  0.1768 (multiplicity 2)  6 F 1.72
H  0.0196  0.5417  0.7847 (multiplicity 6)  1 O 0.98
H  0.0317  0.1894  0.2273 (multiplicity 6)  1 O 0.98
H  0.1425  0.6372  0.9030 (multiplicity 6)  1 O 0.98
H  0.1497  0.3106  0.1179 (multiplicity 6)  1 O 0.98
H  0.1585  0.3570  0.5607 (multiplicity 6)  1 O 0.98
H  0.1708  0.4800  0.4494 (multiplicity 6)  1 O 0.98
O  0.0582  0.2043  0.1304 (multiplicity 6)  2 H 0.98
O  0.1320  0.6022  0.8085 (multiplicity 6)  2 H 0.98
O  0.1761  0.4642  0.5473 (multiplicity 6)  2 H 0.98
F  0.0371  0.8779  0.6005 (multiplicity 6)  1 Si 1.72, 2 H 1.82-1.83
F  0.1764  0.5411  0.2778 (multiplicity 6)  1 Si 1.72, 2 H 1.78-1.79
F  0.2075  0.6985  0.0772 (multiplicity 6)  1 Si 1.72, 2 H 1.80-1.83

Computed properties:
DOS at the Fermi energy   0.00 states/eV/f.u.
Calculated total energy   -5.286 eV/atom